(1)
Entry from Alexandria: an optimized crystal structure of KTl2Re (GGA-PBE).

**Total moment**: 0.000 μB/f.u.
**Uncorrected energy**: -3.80 eV per atom
**Energy relative to the lowest polymorph listed for this composition**: 95 meV/atom

Geometry as POSCAR:
```
KTl2Re
1.0
-3.783 -1.524 9.830
-0.600 -1.542 10.513
-2.209 1.282 10.331
Tl K Re
2 1 1
direct
0.488 0.488 0.488
0.012 0.012 0.012
0.250 0.250 0.250
0.750 0.750 0.750
```


(2)
Entry from Alexandria: an optimized crystal structure of KTl2Re (GGA-PBE).

**Total moment**: 0.000 μB/f.u.
**Uncorrected energy**: -3.48 eV per atom
**Energy relative to the lowest polymorph listed for this composition**: 420 meV/atom

Geometry as POSCAR:
```
KTl2Re
1.0
0.000 3.627 3.627
3.627 0.000 3.627
3.627 3.627 0.000
Tl Re K
2 1 1
direct
0.750 0.750 0.750
0.250 0.250 0.250
0.500 0.500 0.500
0.000 0.000 0.000
```


(3)
Entry from Alexandria: an optimized crystal structure of K4TlRe (GGA-PBE).

**Total moment**: 3.471 μB/f.u.
**Uncorrected energy**: -1.98 eV per atom

Geometry as POSCAR:
```
K4TlRe
1.0
2.222 2.749 6.069
-2.250 -2.666 6.096
4.412 -3.624 4.090
K Tl Re
4 1 1
direct
0.375 0.874 0.375
0.375 0.375 0.375
0.375 0.375 0.874
0.874 0.375 0.375
0.000 0.000 0.000
0.750 0.750 0.750
```


(4)
Entry from Alexandria: an optimized crystal structure of KTl2Re (GGA-PBE).

**Total moment**: 0.000 μB/f.u.
**Uncorrected energy**: -3.84 eV per atom
**Energy relative to the lowest polymorph listed for this composition**: 54 meV/atom

Geometry as POSCAR:
```
KTl2Re
1.0
-0.474 4.644 0.446
-3.037 -0.313 0.029
0.158 -0.770 8.188
K Tl Re
1 2 1
direct
0.000 0.625 0.505
0.500 0.125 0.203
0.000 0.125 0.888
0.500 0.625 0.903
```


(5)
Entry from Alexandria: an optimized crystal structure of KTlRe3 (GGA-PBE).

**Total moment**: 4.951 μB/f.u.
**Uncorrected energy**: -4.96 eV per atom
**Energy relative to the lowest polymorph listed for this composition**: 0 meV/atom

Geometry as POSCAR:
```
KTlRe3
1.0
5.140 0.000 0.000
0.000 5.140 0.000
0.000 0.000 5.140
Re Tl K
3 1 1
direct
0.000 0.500 0.000
0.500 0.000 0.000
0.000 0.000 0.500
0.000 0.000 0.000
0.500 0.500 0.500
```


(6)
Entry from Alexandria: an optimized crystal structure of KTl2Re (GGA-PBE).

**Total moment**: 3.299 μB/f.u.
**Uncorrected energy**: -3.30 eV per atom
**Energy relative to the lowest polymorph listed for this composition**: 598 meV/atom

Geometry as POSCAR:
```
KTl2Re
1.0
-1.953 2.945 -4.075
-5.208 -0.383 -1.350
-3.355 4.102 1.003
Tl K Re
2 1 1
direct
0.000 0.000 0.000
0.250 0.250 0.250
0.500 0.500 0.500
0.750 0.750 0.750
```


(7)
Entry from Alexandria: an optimized crystal structure of K2TlRe (GGA-PBE).

**Total moment**: 0.973 μB/f.u.
**Uncorrected energy**: -3.33 eV per atom
**Energy relative to the lowest polymorph listed for this composition**: 0 meV/atom

Geometry as POSCAR:
```
K2TlRe
1.0
4.587 0.000 0.000
0.000 3.121 -0.098
0.000 0.453 10.082
Re K Tl
1 2 1
direct
0.000 0.376 0.611
0.500 0.386 0.329
0.000 0.864 0.920
0.500 0.874 0.640
```


(8)
Entry from Alexandria: an optimized crystal structure of K2TlRe (GGA-PBE).

**Total moment**: 2.548 μB/f.u.
**Uncorrected energy**: -3.13 eV per atom
**Energy relative to the lowest polymorph listed for this composition**: 200 meV/atom

Geometry as POSCAR:
```
K2TlRe
1.0
6.380 -0.008 0.009
1.842 6.109 -0.009
-3.633 -3.694 3.723
Tl Re K
1 1 2
direct
0.312 0.812 0.500
0.432 0.432 0.000
0.727 0.227 0.500
0.029 0.029 0.000
```


(9)
Entry from Alexandria: an optimized crystal structure of K2TlRe (GGA-PBE).

**Total moment**: 2.011 μB/f.u.
**Uncorrected energy**: -3.03 eV per atom
**Energy relative to the lowest polymorph listed for this composition**: 297 meV/atom

Geometry as POSCAR:
```
K2TlRe
1.0
-2.678 -3.078 -1.439
2.633 -0.722 -3.356
2.863 -3.938 3.093
K Re Tl
2 1 1
direct
0.500 0.500 0.000
0.000 0.000 0.000
0.500 0.000 0.500
0.000 0.500 0.500
```


(10)
Entry from Alexandria: an optimized crystal structure of KTl2Re (GGA-PBE).

**Total moment**: 0.000 μB/f.u.
**Uncorrected energy**: -3.50 eV per atom
**Energy relative to the lowest polymorph listed for this composition**: 391 meV/atom

Geometry as POSCAR:
```
KTl2Re
1.0
6.653 0.021 0.069
-3.162 5.050 -0.009
0.330 0.860 2.849
Tl Re K
2 1 1
direct
0.000 0.000 0.000
0.500 0.000 0.500
0.500 0.500 0.000
0.000 0.500 0.500
```


(11)
Entry from Alexandria: an optimized crystal structure of KTlRe3 (GGA-PBE).

**Total moment**: 2.485 μB/f.u.
**Uncorrected energy**: -4.35 eV per atom
**Energy relative to the lowest polymorph listed for this composition**: 608 meV/atom

Geometry as POSCAR:
```
KTlRe3
1.0
4.647 0.000 0.000
0.000 4.647 0.000
0.000 0.000 4.647
K Re Tl
1 3 1
direct
0.000 0.000 0.000
0.000 0.500 0.000
0.500 0.000 0.000
0.000 0.000 0.500
0.500 0.500 0.500
```


(12)
Entry from Alexandria: an optimized crystal structure of K2TlRe (GGA-PBE).

**Total moment**: 0.001 μB/f.u.
**Uncorrected energy**: -3.24 eV per atom
**Energy relative to the lowest polymorph listed for this composition**: 82 meV/atom

Geometry as POSCAR:
```
K2TlRe
1.0
5.117 -0.011 0.014
4.239 2.865 0.014
0.684 0.209 9.777
Re K Tl
1 2 1
direct
0.502 0.502 0.594
0.227 0.227 0.334
0.008 0.008 0.911
0.763 0.763 0.661
```


So what do the calculations give for calculated formation energy? Going down the list: 0.7690, 1.0939, 1.2200, 0.7281, 3.2020, 1.2720, 0.9257, 1.1259, 1.2222, 1.0648, 3.8096, 1.0074 eV/atom.